# Nd2Er2In7 | the Alexandria database | PBE | relaxed
data_Nd2Er2In7
_cell_length_a 10.277
_cell_length_b 11.440
_cell_length_c 6.074
_cell_angle_alpha 90.00
_cell_angle_beta 90.00
_cell_angle_gamma 90.00
_space_group_name_H-M_alt 'C m m m'
_space_group_IT_number 65
_space_group_name_Hall '-C 2 2'
loop_
_atom_site_label
_atom_site_type_symbol
_atom_site_fract_x
_atom_site_fract_y
_atom_site_fract_z
Nd1 Nd 0.197 0.000 0.000
Er1 Er 0.000 0.268 0.500
In1 In 0.000 0.000 0.500
In2 In 0.000 0.500 0.238
In3 In 0.250 0.250 0.239
# * ΔE_f: 0.1 eV per formula unit
# * N(E_F): 13.6 states/eV per cell
# * theoretical density: 6636 kg/m³